# 1
Below is a relaxed structure of SnTePbS, with properties calculated at the PBE level.

Uncorrected formation energy ... -0.281 eV per atom
Crystal system ... trigonal
DFT total energy ... -4.026 eV per atom

Cell: 5.2589 5.2589 34.2989 Å, 90.00 90.00 120.00°
Space group R-3m (No. 166, hexagonal axes)
Asymmetric unit:
Sn (0.0000, 0.0000, 0.2100)
Te (0.0000, 0.0000, 0.1161)
Pb (0.0000, 0.0000, 0.3758)
S (0.0000, 0.0000, 0.2959)

# 2
Below is a relaxed structure of SnTePb4S4, with properties calculated at the PBE level.

Uncorrected formation energy ... -0.476 eV per atom
Crystal system ... trigonal
DFT total energy ... -4.324 eV per atom

Cell: 4.2933 4.2933 52.6738 Å, 90.00 90.00 120.00°
Space group R3m (No. 160, hexagonal axes)
Asymmetric unit:
Sn (0.0000, 0.0000, 0.0000)
Te (0.0000, 0.0000, 0.2963)
Pb (0.0000, 0.0000, 0.1923)
Pb (0.0000, 0.0000, 0.3961)
Pb (0.0000, 0.0000, 0.5904)
Pb (0.0000, 0.0000, 0.7942)
S (0.0000, 0.0000, 0.0948)
S (0.0000, 0.0000, 0.4931)
S (0.0000, 0.0000, 0.6965)
S (0.0000, 0.0000, 0.8914)

# 3
Below is a relaxed structure of TlSnPbS3, with properties calculated at the PBE level.

Uncorrected formation energy ... -0.339 eV per atom
Crystal system ... monoclinic
DFT total energy ... -4.082 eV per atom

Cell: 8.705 4.700 9.707 Å, 90.00 96.03 90.00°
Space group P2_1/m (No. 11)
Asymmetric unit:
Tl (0.164, 0.250, 0.168)
Sn (0.120, 0.250, 0.595)
Pb (0.383, 0.750, 0.859)
S (0.130, 0.250, 0.844)
S (0.175, 0.750, 0.499)
S (0.401, 0.750, 0.134)